<A>
Computed, not measured: a relaxed structure of SbAs at the GGA-PBE level of DFT.

Summary:
space-group type = Pmma, No. 51
M_tot = 0.00 μB/cell

Unit cell a=5.9861 b=4.0382 c=4.4447 alpha=90.00 beta=90.00 gamma=90.00
Closest atoms and distances in Å follow each position.
Element x y z (fractional)
1 Sb 0.2500 0.0000 0.0567  2 As 2.71
2 Sb 0.7500 0.0000 0.9433  2 As 2.71
3 As 0.2500 0.5000 0.4624  2 Sb 2.71, 2 As 3.01
4 As 0.7500 0.5000 0.5376  2 Sb 2.71, 2 As 3.01


<B>
Computed, not measured: a relaxed structure of SbAs at the GGA-PBE level of DFT.

Summary:
space-group type = Cmcm, No. 63
M_tot = 0.00 μB/cell

Unit cell a=6.3106 b=6.3106 c=4.1262 alpha=90.00 beta=90.00 gamma=141.53
Closest atoms and distances in Å follow each position.
Element x y z (fractional)
1 Sb 0.1333 0.8667 0.7500  5 As 2.74-2.93
2 Sb 0.8667 0.1333 0.2500  5 As 2.74-2.93
3 As 0.3631 0.6369 0.7500  5 Sb 2.74-2.93
4 As 0.6369 0.3631 0.2500  5 Sb 2.74-2.93


<C>
Computed, not measured: a relaxed structure of SbAs at the GGA-PBE level of DFT.

Summary:
space-group type = R-3m, No. 166
M_tot = 0.00 μB/cell

Unit cell a=7.7872 b=7.7872 c=7.7872 alpha=30.56 beta=30.56 gamma=30.56
Closest atoms and distances in Å follow each position.
Element x y z (fractional)
1 Sb 0.1101 0.1101 0.1101  3 As 2.75
2 Sb 0.8899 0.8899 0.8899  3 As 2.75
3 As 0.3810 0.3810 0.3810  3 Sb 2.75
4 As 0.6190 0.6190 0.6190  3 Sb 2.75


Which structure wins on stability? <C> wins.


<A>
Computed, not measured: a relaxed structure of SbAs3 at the GGA-PBE level of DFT.

Summary:
space-group type = I4/mmm, No. 139
M_tot = 0.00 μB/cell

Unit cell a=5.9754 b=5.9754 c=5.9754 alpha=140.19 beta=140.19 gamma=57.57
Closest atoms and distances in Å follow each position.
Element x y z (fractional)
1 Sb 0.0000 0.0000 0.0000  4 As 2.88
2 As 0.2500 0.7500 0.5000  4 As 2.88
3 As 0.5000 0.5000 0.0000  4 Sb 2.88
4 As 0.7500 0.2500 0.5000  4 As 2.88


<B>
Computed, not measured: a relaxed structure of SbAs3 at the GGA-PBE level of DFT.

Summary:
space-group type = Pmm2, No. 25
M_tot = 0.00 μB/cell

Unit cell a=3.9159 b=5.7265 c=4.3690 alpha=90.00 beta=90.00 gamma=90.00
Closest atoms and distances in Å follow each position.
Element x y z (fractional)
1 Sb 0.0000 0.0000 0.0000  4 As 2.69-2.90
2 As 0.0000 0.5000 0.8879  2 As 2.55
3 As 0.5000 0.0000 0.4206  2 Sb 2.69, 2 As 2.89
4 As 0.5000 0.5000 0.5128  2 As 2.55


<C>
Computed, not measured: a relaxed structure of SbAs3 at the GGA-PBE level of DFT.

Summary:
space-group type = Cmcm, No. 63
M_tot = 0.00 μB/cell

Unit cell a=7.1868 b=7.1868 c=5.3745 alpha=90.00 beta=90.00 gamma=129.89
Closest atoms and distances in Å follow each position.
Element x y z (fractional)
1 Sb 0.1626 0.8374 0.7500  6 As 2.91-3.03
2 Sb 0.8374 0.1626 0.2500  6 As 2.91-3.03
3 As 0.0767 0.3826 0.7500  1 As 2.49
4 As 0.3826 0.0767 0.2500  1 As 2.49
5 As 0.4906 0.5094 0.7500  4 As 2.49-2.70
6 As 0.5094 0.4906 0.2500  4 As 2.49-2.70
7 As 0.6174 0.9233 0.7500  1 As 2.49
8 As 0.9233 0.6174 0.2500  1 As 2.49


<D>
Computed, not measured: a relaxed structure of SbAs3 at the GGA-PBE level of DFT.

Summary:
space-group type = R-3m, No. 166
M_tot = 0.00 μB/cell

Unit cell a=6.8333 b=6.8333 c=6.8333 alpha=34.35 beta=34.35 gamma=34.35
Closest atoms and distances in Å follow each position.
Element x y z (fractional)
1 Sb 0.0000 0.0000 0.0000  6 As 2.89
2 As 0.2443 0.2443 0.2443  3 As 2.77, 3 Sb 2.89
3 As 0.5000 0.5000 0.5000  6 As 2.77
4 As 0.7557 0.7557 0.7557  3 As 2.77, 3 Sb 2.89


Which structure wins on stability? <B> wins.


<A>
Computed, not measured: a relaxed structure of Sb3As at the GGA-PBE level of DFT.

Summary:
space-group type = Immm, No. 71
M_tot = 0.00 μB/cell

Unit cell a=6.4322 b=6.4322 c=6.4322 alpha=144.11 beta=136.84 gamma=57.34
Closest atoms and distances in Å follow each position.
Element x y z (fractional)
1 Sb 0.0000 0.0000 0.0000  4 As 3.09, 4 Sb 3.25
2 Sb 0.3025 0.8025 0.5000  2 As 2.98, 6 Sb 3.25-3.31
3 Sb 0.6975 0.1975 0.5000  2 As 2.98, 6 Sb 3.25-3.31
4 As 0.5000 0.5000 0.0000  8 Sb 2.98-3.09


<B>
Computed, not measured: a relaxed structure of Sb3As at the GGA-PBE level of DFT.

Summary:
space-group type = Cmcm, No. 63
M_tot = 0.00 μB/cell

Unit cell a=7.8556 b=7.8556 c=3.8514 alpha=90.00 beta=90.00 gamma=95.35
Closest atoms and distances in Å follow each position.
Element x y z (fractional)
1 Sb 0.0768 0.3851 0.7500  4 Sb 2.97-3.17, 1 As 3.00
2 Sb 0.1032 0.8968 0.7500  6 Sb 3.07-3.17
3 Sb 0.3851 0.0768 0.2500  4 Sb 2.97-3.17, 1 As 3.00
4 Sb 0.6149 0.9232 0.7500  4 Sb 2.97-3.17, 1 As 3.00
5 Sb 0.8968 0.1032 0.2500  6 Sb 3.07-3.17
6 Sb 0.9232 0.6149 0.2500  4 Sb 2.97-3.17, 1 As 3.00
7 As 0.4264 0.5736 0.7500  2 As 2.58
8 As 0.5736 0.4264 0.2500  2 As 2.58


<C>
Computed, not measured: a relaxed structure of Sb3As at the GGA-PBE level of DFT.

Summary:
space-group type = Cmmm, No. 65
M_tot = 0.00 μB/cell

Unit cell a=3.2389 b=3.2389 c=10.3274 alpha=90.00 beta=90.00 gamma=110.74
Closest atoms and distances in Å follow each position.
Element x y z (fractional)
1 Sb 0.0000 0.0000 0.0000  8 Sb 3.24-3.34
2 Sb 0.5000 0.5000 0.2694  2 As 3.01, 6 Sb 3.24-3.34
3 Sb 0.5000 0.5000 0.7306  2 As 3.01, 6 Sb 3.24-3.34
4 As 0.0000 0.0000 0.5000  4 Sb 3.01, 4 As 3.24


<D>
Computed, not measured: a relaxed structure of Sb3As at the GGA-PBE level of DFT.

Summary:
space-group type = Pm-3m, No. 221
M_tot = 0.00 μB/cell

Unit cell a=4.6703 b=4.6703 c=4.6703 alpha=90.00 beta=90.00 gamma=90.00
Closest atoms and distances in Å follow each position.
Element x y z (fractional)
1 Sb 0.0000 0.0000 0.5000  4 As 3.30, 8 Sb 3.30
2 Sb 0.0000 0.5000 0.0000  4 As 3.30, 8 Sb 3.30
3 Sb 0.5000 0.0000 0.0000  4 As 3.30, 8 Sb 3.30
4 As 0.5000 0.5000 0.5000  12 Sb 3.30


Which structure wins on stability? <B> wins.


<A>
Computed, not measured: a relaxed structure of Sb3As at the GGA-PBE level of DFT.

Summary:
space-group type = R-3m, No. 166
M_tot = 0.00 μB/cell

Unit cell a=6.0746 b=6.0746 c=6.0746 alpha=116.88 beta=116.88 gamma=116.88
Closest atoms and distances in Å follow each position.
Element x y z (fractional)
1 Sb 0.0000 0.5000 0.5000  6 Sb 3.18-3.26, 2 As 3.18
2 Sb 0.5000 0.0000 0.5000  2 As 3.18, 6 Sb 3.18-3.26
3 Sb 0.5000 0.5000 0.0000  6 Sb 3.18-3.26, 2 As 3.18
4 As 0.0000 0.0000 0.0000  6 Sb 3.18, 2 As 3.26


<B>
Computed, not measured: a relaxed structure of Sb3As at the GGA-PBE level of DFT.

Summary:
space-group type = P6_3/mmc, No. 194
M_tot = 0.00 μB/cell

Unit cell a=6.5545 b=6.5545 c=10.9435 alpha=90.00 beta=90.00 gamma=120.00
Closest atoms and distances in Å follow each position.
Element x y z (fractional)
1 Sb 0.0000 0.5000 0.0000  4 As 3.28-3.33, 8 Sb 3.28-3.35
2 Sb 0.0000 0.5000 0.5000  4 As 3.28-3.33, 8 Sb 3.28-3.35
3 Sb 0.1608 0.3216 0.2500  8 Sb 3.16-3.39, 4 As 3.28-3.29
4 Sb 0.1608 0.8392 0.2500  8 Sb 3.16-3.39, 4 As 3.28-3.29
5 Sb 0.3216 0.1608 0.7500  8 Sb 3.16-3.39, 4 As 3.28-3.29
6 Sb 0.5000 0.0000 0.0000  4 As 3.28-3.33, 8 Sb 3.28-3.35
7 Sb 0.5000 0.0000 0.5000  4 As 3.28-3.33, 8 Sb 3.28-3.35
8 Sb 0.5000 0.5000 0.0000  4 As 3.28-3.33, 8 Sb 3.28-3.35
9 Sb 0.5000 0.5000 0.5000  4 As 3.28-3.33, 8 Sb 3.28-3.35
10 Sb 0.6784 0.8392 0.2500  8 Sb 3.16-3.39, 4 As 3.28-3.29
11 Sb 0.8392 0.1608 0.7500  8 Sb 3.16-3.39, 4 As 3.28-3.29
12 Sb 0.8392 0.6784 0.7500  8 Sb 3.16-3.39, 4 As 3.28-3.29
13 As 0.0000 0.0000 0.0000  12 Sb 3.28-3.29
14 As 0.0000 0.0000 0.5000  12 Sb 3.28-3.29
15 As 0.3333 0.6667 0.7500  12 Sb 3.28-3.33
16 As 0.6667 0.3333 0.2500  12 Sb 3.28-3.33


Which structure wins on stability? <A> wins.


<A>
Computed, not measured: a relaxed structure of Sb3As at the GGA-PBE level of DFT.

Summary:
space-group type = Pmm2, No. 25
M_tot = 0.00 μB/cell

Unit cell a=4.2045 b=6.0970 c=4.5646 alpha=90.00 beta=90.00 gamma=90.00
Closest atoms and distances in Å follow each position.
Element x y z (fractional)
1 Sb 0.0000 0.0000 0.0000  4 Sb 2.89-3.08
2 Sb 0.0000 0.5000 0.0993  2 As 2.75, 2 Sb 3.08
3 Sb 0.5000 0.0000 0.5671  2 Sb 2.89, 2 As 3.07
4 As 0.5000 0.5000 0.4891  4 Sb 2.75-3.07


<B>
Computed, not measured: a relaxed structure of Sb3As at the GGA-PBE level of DFT.

Summary:
space-group type = R-3m, No. 166
M_tot = 0.00 μB/cell

Unit cell a=7.2621 b=7.2621 c=7.2621 alpha=34.53 beta=34.53 gamma=34.53
Closest atoms and distances in Å follow each position.
Element x y z (fractional)
1 Sb 0.0000 0.0000 0.0000  6 Sb 3.08
2 Sb 0.2443 0.2443 0.2443  3 As 2.95, 3 Sb 3.08
3 Sb 0.7557 0.7557 0.7557  3 As 2.95, 3 Sb 3.08
4 As 0.5000 0.5000 0.5000  6 Sb 2.95


<C>
Computed, not measured: a relaxed structure of Sb3As at the GGA-PBE level of DFT.

Summary:
space-group type = Fm-3m, No. 225
M_tot = 0.00 μB/cell

Unit cell a=5.2210 b=5.2210 c=5.2210 alpha=60.00 beta=60.00 gamma=60.00
Closest atoms and distances in Å follow each position.
Element x y z (fractional)
1 Sb 0.0000 0.0000 0.0000  8 Sb 3.20
2 Sb 0.2500 0.2500 0.2500  4 As 3.20, 4 Sb 3.20
3 Sb 0.7500 0.7500 0.7500  4 As 3.20, 4 Sb 3.20
4 As 0.5000 0.5000 0.5000  8 Sb 3.20


<D>
Computed, not measured: a relaxed structure of Sb3As at the GGA-PBE level of DFT.

Summary:
space-group type = P4/mmm, No. 123
M_tot = 0.00 μB/cell

Unit cell a=5.3220 b=5.3220 c=3.5657 alpha=90.00 beta=90.00 gamma=90.00
Closest atoms and distances in Å follow each position.
Element x y z (fractional)
1 Sb 0.0000 0.0000 0.0000  10 Sb 3.20-3.57
2 Sb 0.0000 0.5000 0.5000  4 As 3.20, 6 Sb 3.20-3.57
3 Sb 0.5000 0.0000 0.5000  4 As 3.20, 6 Sb 3.20-3.57
4 As 0.5000 0.5000 0.0000  8 Sb 3.20, 2 As 3.57


Which structure wins on stability? <A> wins.


<A>
Computed, not measured: a relaxed structure of Sb3As at the GGA-PBE level of DFT.

Summary:
space-group type = Pnma, No. 62
M_tot = 0.00 μB/cell

Unit cell a=7.1161 b=7.4518 c=8.4634 alpha=90.00 beta=90.00 gamma=90.00
Closest atoms and distances in Å follow each position.
Element x y z (fractional)
1 Sb 0.0749 0.2500 0.1214  6 Sb 3.06-3.13
2 Sb 0.2256 0.5056 0.3748  3 As 2.97-3.05, 3 Sb 3.06-3.13
3 Sb 0.2256 0.9944 0.3748  3 As 2.97-3.05, 3 Sb 3.06-3.13
4 Sb 0.2744 0.0056 0.8748  3 As 2.97-3.05, 3 Sb 3.06-3.13
5 Sb 0.2744 0.4944 0.8748  3 As 2.97-3.05, 3 Sb 3.06-3.13
6 Sb 0.4251 0.7500 0.6214  6 Sb 3.06-3.13
7 Sb 0.5749 0.2500 0.3786  6 Sb 3.06-3.13
8 Sb 0.7256 0.5056 0.1252  3 As 2.97-3.05, 3 Sb 3.06-3.13
9 Sb 0.7256 0.9944 0.1252  3 As 2.97-3.05, 3 Sb 3.06-3.13
10 Sb 0.7744 0.0056 0.6252  3 As 2.97-3.05, 3 Sb 3.06-3.13
11 Sb 0.7744 0.4944 0.6252  3 As 2.97-3.05, 3 Sb 3.06-3.13
12 Sb 0.9251 0.7500 0.8786  6 Sb 3.06-3.13
13 As 0.1035 0.2500 0.6235  6 Sb 2.97-3.05
14 As 0.3965 0.7500 0.1235  6 Sb 2.97-3.05
15 As 0.6035 0.2500 0.8765  6 Sb 2.97-3.05
16 As 0.8965 0.7500 0.3765  6 Sb 2.97-3.05


<B>
Computed, not measured: a relaxed structure of Sb3As at the GGA-PBE level of DFT.

Summary:
space-group type = Pm-3m, No. 221
M_tot = 0.00 μB/cell

Unit cell a=5.4730 b=5.4730 c=5.4730 alpha=90.00 beta=90.00 gamma=90.00
Closest atoms and distances in Å follow each position.
Element x y z (fractional)
1 Sb 0.0000 0.0000 0.5000  2 As 2.74
2 Sb 0.0000 0.5000 0.0000  2 As 2.74
3 Sb 0.5000 0.0000 0.0000  2 As 2.74
4 As 0.0000 0.0000 0.0000  6 Sb 2.74


Which structure wins on stability? <A> wins.